# Ag2SnHg

A relaxed structure of Ag2SnHg (PBE-GGA, the Alexandria database).

Unit cell a=3.649 b=3.649 c=6.414 alpha=90.00 beta=90.00 gamma=90.00
Element x y z (fractional)
Ag (0.000, 0.000, 0.245)
Ag (0.000, 0.000, 0.755)
Sn (0.500, 0.500, 0.500)
Hg (0.500, 0.500, 0.000)

## Properties
- calculated density (g cm⁻³) = 10.4
- DFT formation energy (eV/f.u.) = 0.35
- SG = P4/mmm
- offset from the most stable computed form (meV/atom) = 32.9
- electronic total energy (eV per cell) = -9.65
- total moment (μB/f.u.) = 0.00